a:
A plane-wave DFT calculation with GGA-PBEsol was carried out for a geometry-optimized ZnTeW2 structure.

Cell: 9.076 3.237 4.693 Å, 90.00 97.57 90.00°
Sites, in units of the cell vectors:
1 Zn 0.000 0.000 0.000
2 Zn 0.500 0.500 0.000
3 Te 0.000 0.500 0.500
4 Te 0.500 0.000 0.500
5 W 0.247 0.500 0.218
6 W 0.253 0.000 0.782
7 W 0.747 0.000 0.218
8 W 0.753 0.500 0.782

Output
Its space group is C2/m (12). The calculation puts the density of states at the Fermi level at 0.614 states/eV/atom.

***

b:
A plane-wave DFT calculation with GGA-PBEsol was carried out for a geometry-optimized ZnTeW2 structure.

Cell: 3.089 4.648 5.133 Å, 90.00 104.98 90.00°
Sites, in units of the cell vectors:
1 Zn 0.000 0.000 0.000
2 Te 0.265 0.500 0.249
3 W 0.339 0.000 0.564
4 W 0.942 0.500 0.686

Output
Its space group is Pm (6). The calculation puts the density of states at the Fermi level at 0.441 states/eV/atom.

***

Relative to the most stable structure, the computed energies are a 0.0; b 4.0, all in kJ/mol of atoms.